# 1
Density functional theory data (PBE) for a geometry-optimized Ta2V15Sn2 structure.

```
19
Lattice="4.5016 2.5990 4.1332 -4.5016 2.5990 4.1332 0.0000 -5.1980 4.1332" Properties=species:S:1:pos:R:3 pbc="T T T"
Ta 0.0000 0.0000 1.6649
Ta 0.0000 0.0000 10.7348
V -2.2508 -1.2995 4.1332
V 0.0000 -2.7001 3.9444
V -2.3383 1.3500 3.9444
V -1.4303 -2.4774 6.1998
V -2.8607 0.0000 6.1998
V -2.3383 -1.3500 8.4553
V -2.2508 1.2995 8.2664
V 1.4303 -2.4774 6.1998
V 0.0000 2.5990 4.1332
V -1.4303 2.4774 6.1998
V 2.3383 1.3500 3.9444
V 2.8607 0.0000 6.1998
V 1.4303 2.4774 6.1998
V 2.3383 -1.3500 8.4553
V 0.0000 2.7001 8.4553
Sn 0.0000 0.0000 4.7580
Sn 0.0000 0.0000 7.6416
```

Summary:
* energy relative to the elements: 193 meV per atom
* SG: R-3m, No. 166
* total DFT energy (no corrections): -8.6751 eV per atom
* N(E_F): 1.469 states/eV per atom
* magnetization: 0.00 μB per formula unit
* crystal system: trigonal


# 2
Density functional theory data (PBE) for a geometry-optimized YCdP2S structure.

```
5
Lattice="4.8719 0.0000 0.0000 0.0000 4.8719 0.0000 0.0000 0.0000 4.9817" Properties=species:S:1:pos:R:3 pbc="T T T"
Y 0.0000 0.0000 0.0000
Cd 2.4360 2.4360 2.4908
P 0.0000 2.4360 2.4908
P 2.4360 0.0000 2.4908
S 2.4360 2.4360 0.0000
```

Summary:
* SG: P4/mmm, No. 123
* total DFT energy (no corrections): -4.2113 eV per atom
* N(E_F): 0.782 states/eV per atom
* magnetization: 0.00 μB per formula unit
* energy above the lowest structure with this stoichiometry: 0.00 eV per formula unit
* formation energy from raw total energies: 0.25 eV per atom
* crystal system: tetragonal


# 3
Density functional theory data (PBE) for a geometry-optimized CaP2Se structure.

```
4
Lattice="3.8928 0.0000 0.0000 0.0000 3.8928 0.0000 0.0000 0.0000 5.4551" Properties=species:S:1:pos:R:3 pbc="T T T"
Ca 0.0000 0.0000 0.0000
P 1.9464 1.9464 1.6211
P 1.9464 1.9464 3.8340
Se 0.0000 0.0000 2.7275
```

Summary:
* SG: P4/mmm, No. 123
* total DFT energy (no corrections): -4.2565 eV per atom
* N(E_F): 0.622 states/eV per atom
* magnetization: 0.00 μB per formula unit
* formation energy from raw total energies: -0.18 eV per atom
* crystal system: tetragonal


# 4
Density functional theory data (PBE) for a geometry-optimized Sr2HgGe2 structure.

```
5
Lattice="4.0687 0.0000 0.0000 0.0000 4.4407 0.0000 -2.0148 0.0000 8.0402" Properties=species:S:1:pos:R:3 pbc="T T T"
Sr 0.0104 0.0000 2.0786
Sr 2.0435 0.0000 5.9615
Hg 2.0344 2.2204 0.0000
Ge 0.0079 2.2204 4.7761
Ge 2.0460 2.2204 3.2641
```

Summary:
* energy relative to the elements: -522 meV per atom
* SG: P2/m, No. 10
* total DFT energy (no corrections): -3.1022 eV per atom
* N(E_F): 0.591 states/eV per atom
* magnetization: 0.00 μB per formula unit
* crystal system: monoclinic


# 5
Density functional theory data (PBE) for a geometry-optimized SmAgPdPb structure.

```
4
Lattice="0.0000 3.5396 3.5396 3.5396 0.0000 3.5396 3.5396 3.5396 0.0000" Properties=species:S:1:pos:R:3 pbc="T T T"
Sm 0.0000 0.0000 0.0000
Ag 5.3094 5.3094 5.3094
Pd 1.7698 1.7698 1.7698
Pb 3.5396 3.5396 3.5396
```

Summary:
* energy relative to the elements: -472 meV per atom
* SG: F-43m, No. 216
* total DFT energy (no corrections): -4.5900 eV per atom
* N(E_F): 0.613 states/eV per atom
* magnetization: 0.00 μB per formula unit
* crystal system: cubic


# 6
Density functional theory data (PBE) for a geometry-optimized BaAcLuIn structure.

```
4
Lattice="0.0000 4.1764 4.1764 4.1764 0.0000 4.1764 4.1764 4.1764 0.0000" Properties=species:S:1:pos:R:3 pbc="T T T"
Ba 0.0000 0.0000 0.0000
Ac 2.0882 2.0882 2.0882
Lu 4.1764 4.1764 4.1764
In 6.2647 6.2647 6.2647
```

Summary:
* energy relative to the elements: 97 meV per atom
* SG: F-43m, No. 216
* total DFT energy (no corrections): -3.2253 eV per atom
* N(E_F): 1.461 states/eV per atom
* magnetization: 0.00 μB per formula unit
* crystal system: cubic


# 7
Density functional theory data (PBE) for a geometry-optimized TlAsS3 structure.

```
10
Lattice="3.6460 0.0000 0.0000 0.2116 8.4607 0.0000 0.0869 1.0072 8.8102" Properties=species:S:1:pos:R:3 pbc="T T T"
Tl 0.9204 2.8117 3.1888
Tl 3.0240 6.6562 5.6214
As 1.1487 7.1777 1.6150
As 2.7958 2.2902 7.1952
S 0.9496 4.9958 8.2332
S 0.9856 0.7865 6.8066
S 1.2008 5.9068 3.4212
S 2.7437 3.5610 5.3890
S 2.9589 8.6814 2.0035
S 2.9949 4.4721 0.5769
```

Summary:
* SG: P-1, No. 2
* total DFT energy (no corrections): -3.9565 eV per atom
* N(E_F): 0.128 states/eV per atom
* magnetization: 0.00 μB per formula unit
* formation energy from raw total energies: -0.08 eV per atom
* crystal system: triclinic


# 8
Density functional theory data (PBE) for a geometry-optimized ScPbBr4 structure.

```
6
Lattice="0.0000 4.4709 4.4709 4.4709 0.0000 4.4709 4.4709 4.4709 0.0000" Properties=species:S:1:pos:R:3 pbc="T T T"
Sc 0.0000 0.0000 0.0000
Pb 2.2354 2.2354 2.2354
Br 5.5951 3.3466 3.3466
Br 3.3466 5.5951 3.3466
Br 3.3466 3.3466 5.5951
Br 5.5951 5.5951 5.5951
```

Summary:
* SG: F-43m, No. 216
* total DFT energy (no corrections): -2.5658 eV per atom
* N(E_F): 1.541 states/eV per atom
* magnetization: 0.82 μB per formula unit
* formation energy from raw total energies: 0.22 eV per atom
* crystal system: cubic


# 9
Density functional theory data (PBE) for a geometry-optimized Nd4SmTe4 structure.

```
9
Lattice="-4.0264 4.0264 5.1005 4.0264 -4.0264 5.1005 4.0264 4.0264 -5.1005" Properties=species:S:1:pos:R:3 pbc="T T T"
Nd 4.0264 0.0000 0.0000
Nd 0.0000 0.0000 1.7557
Nd 0.0000 4.0264 0.0000
Nd 0.0000 0.0000 8.4454
Sm 0.0000 0.0000 5.1005
Te 1.8657 -1.8657 3.6745
Te 2.1607 2.1607 1.4260
Te -1.8657 1.8657 3.6745
Te 1.8657 1.8657 6.5265
```

Summary:
* SG: I-42m, No. 121
* total DFT energy (no corrections): -4.8912 eV per atom
* N(E_F): 1.274 states/eV per atom
* magnetization: 0.00 μB per formula unit
* formation energy from raw total energies: -0.85 eV per atom
* crystal system: tetragonal


# 10
Density functional theory data (PBE) for a geometry-optimized TlCuTe2 structure.

```
4
Lattice="4.3057 0.0000 0.0000 -2.1528 3.7288 0.0000 0.0000 0.0000 7.4674" Properties=species:S:1:pos:R:3 pbc="T T T"
Tl 0.0000 0.0000 0.0000
Cu 0.0000 2.4859 3.1754
Te 0.0000 2.4859 5.6976
Te 2.1528 1.2429 2.3879
```

Summary:
* SG: P3m1, No. 156
* total DFT energy (no corrections): -3.2136 eV per atom
* N(E_F): 0.736 states/eV per atom
* magnetization: 0.00 μB per formula unit
* formation energy from raw total energies: -0.03 eV per atom
* crystal system: trigonal


# 11
Density functional theory data (PBE) for a geometry-optimized ThTlCuS3 structure.

```
12
Lattice="8.9989 0.0000 0.0000 0.0000 4.0903 0.0000 -2.5963 0.0000 8.7517" Properties=species:S:1:pos:R:3 pbc="T T T"
Th 1.1902 1.0226 1.4905
Th 5.2124 3.0677 7.2612
Tl 0.8170 3.0677 6.5926
Tl 5.5855 1.0226 2.1591
Cu 2.7002 3.0677 3.5746
Cu 3.7023 1.0226 5.1771
S -1.8402 1.0226 7.3984
S 1.5331 1.0226 4.1896
S 3.0432 3.0677 1.2417
S 3.3593 1.0226 7.5100
S 4.8694 3.0677 4.5622
S 8.2427 3.0677 1.3534
```

Summary:
* SG: P2_1/m, No. 11
* total DFT energy (no corrections): -5.5353 eV per atom
* magnetization: 0.00 μB per formula unit
* formation energy from raw total energies: -1.16 eV per atom
* crystal system: monoclinic


# 12
Density functional theory data (PBE) for a geometry-optimized CaPd2S2 structure.

```
10
Lattice="7.2340 0.0000 0.0000 0.0000 7.2340 0.0000 0.0000 0.0000 3.4312" Properties=species:S:1:pos:R:3 pbc="T T T"
Ca 0.0000 0.0000 0.0000
Ca 3.6170 3.6170 0.0000
Pd 1.1097 2.5073 1.7156
Pd 2.5073 6.1243 1.7156
Pd 4.7267 1.1097 1.7156
Pd 6.1243 4.7267 1.7156
S 1.2074 4.8244 0.0000
S 2.4096 1.2074 0.0000
S 4.8244 6.0267 0.0000
S 6.0267 2.4096 0.0000
```

Summary:
* SG: P4/mbm, No. 127
* total DFT energy (no corrections): -4.6955 eV per atom
* N(E_F): 0.349 states/eV per atom
* magnetization: 0.00 μB per formula unit
* energy above the lowest structure with this stoichiometry: 0.75 eV per formula unit
* formation energy from raw total energies: -0.57 eV per atom
* crystal system: tetragonal


# 13
Density functional theory data (PBE) for a geometry-optimized LiLa2SmTe4 structure.

```
8
Lattice="7.7141 0.0000 0.0000 0.0000 4.4949 0.0000 -2.6250 0.0000 7.3778" Properties=species:S:1:pos:R:3 pbc="T T T"
Li 0.0000 0.0000 0.0000
La 2.5445 0.0000 3.6889
La 3.8570 2.2474 0.0000
Sm -1.3125 2.2474 3.6889
Te 1.1681 2.2474 1.7614
Te -0.1540 0.0000 5.5514
Te 5.2430 0.0000 1.8264
Te 3.9210 2.2474 5.6164
```

Summary:
* SG: P2/m, No. 10
* total DFT energy (no corrections): -5.0770 eV per atom
* N(E_F): 0.416 states/eV per atom
* magnetization: 0.00 μB per formula unit
* formation energy from raw total energies: -1.45 eV per atom
* crystal system: monoclinic


# 14
Density functional theory data (PBE) for a geometry-optimized Sr2GaSnN structure.

```
5
Lattice="5.5764 0.0000 0.0000 0.0000 5.5764 0.0000 0.0000 0.0000 4.0148" Properties=species:S:1:pos:R:3 pbc="T T T"
Sr 0.0000 2.7882 0.0000
Sr 2.7882 0.0000 0.0000
Ga 0.0000 0.0000 2.0074
Sn 2.7882 2.7882 2.0074
N 0.0000 0.0000 0.0000
```

Summary:
* SG: P4/mmm, No. 123
* total DFT energy (no corrections): -4.2067 eV per atom
* N(E_F): 0.178 states/eV per atom
* magnetization: 0.00 μB per formula unit
* formation energy from raw total energies: -0.46 eV per atom
* crystal system: tetragonal


# 15
Density functional theory data (PBE) for a geometry-optimized Tm4US7 structure.

```
12
Lattice="6.3609 -1.8730 0.0000 6.3609 1.8730 0.0000 -2.9266 0.0000 11.1896" Properties=species:S:1:pos:R:3 pbc="T T T"
Tm 0.0000 0.0000 0.0000
Tm 3.2260 0.0000 7.0242
Tm 6.2542 0.0000 4.3991
Tm 6.5260 0.0000 9.0886
U 9.6785 0.0000 2.6715
S -1.7219 0.0000 8.5599
S 1.5892 0.0000 3.5826
S 2.0215 0.0000 9.6749
S 5.2002 0.0000 1.8330
S 8.3008 0.0000 0.3047
S 7.6661 0.0000 6.7075
S 10.8488 0.0000 5.2477
```

Summary:
* SG: Cm, No. 8
* total DFT energy (no corrections): -6.7218 eV per atom
* N(E_F): 0.574 states/eV per atom
* magnetization: 3.18 μB per formula unit
* formation energy from raw total energies: -1.88 eV per atom
* crystal system: monoclinic


# 16
Density functional theory data (PBE) for a geometry-optimized LaThZnRh structure.

```
4
Lattice="0.0000 3.6374 3.6374 3.6374 0.0000 3.6374 3.6374 3.6374 0.0000" Properties=species:S:1:pos:R:3 pbc="T T T"
La 0.0000 0.0000 0.0000
Th 3.6374 3.6374 3.6374
Zn 5.4561 5.4561 5.4561
Rh 1.8187 1.8187 1.8187
```

Summary:
* energy relative to the elements: -419 meV per atom
* SG: F-43m, No. 216
* total DFT energy (no corrections): -5.6621 eV per atom
* N(E_F): 0.877 states/eV per atom
* magnetization: 0.00 μB per formula unit
* crystal system: cubic


# 17
Density functional theory data (PBE) for a geometry-optimized Zn2MoRhCl structure.

```
5
Lattice="5.1316 0.0000 0.0000 0.0000 5.1316 0.0000 0.0000 0.0000 4.6146" Properties=species:S:1:pos:R:3 pbc="T T T"
Zn 0.0000 2.5658 0.0000
Zn 2.5658 0.0000 0.0000
Mo 0.0000 0.0000 0.0000
Rh 0.0000 0.0000 2.3073
Cl 2.5658 2.5658 2.3073
```

Summary:
* SG: P4/mmm, No. 123
* total DFT energy (no corrections): -3.5610 eV per atom
* N(E_F): 0.635 states/eV per atom
* magnetization: 1.63 μB per formula unit
* formation energy from raw total energies: 0.95 eV per atom
* crystal system: tetragonal


# 18
Density functional theory data (PBE) for a geometry-optimized La2Tb5NdEr structure.

```
18
Lattice="-4.3517 4.3517 7.9585 4.3517 -4.3517 7.9585 4.3517 4.3517 -7.9585" Properties=species:S:1:pos:R:3 pbc="T T T"
La 5.3777 1.0260 0.0000
La 1.0260 3.3256 0.0000
La 3.3256 1.0260 7.9585
La -1.0260 3.3256 7.9585
Tb 0.0000 0.0000 0.0000
Tb 2.4710 1.8807 -2.2481
Tb 2.4710 -1.8807 5.7104
Tb 2.4710 1.8807 2.2481
Tb 2.4710 -1.8807 10.2066
Tb 0.0000 0.0000 7.9585
Tb 1.8807 6.2324 -2.2481
Tb 1.8807 2.4710 5.7104
Tb 1.8807 6.2324 2.2481
Tb 1.8807 2.4710 10.2066
Nd 0.0000 0.0000 3.9793
Nd 0.0000 0.0000 11.9378
Er 4.3517 0.0000 3.9793
Er 0.0000 4.3517 3.9793
```

Summary:
* energy relative to the elements: 255 meV per atom
* SG: I4/mcm, No. 140
* total DFT energy (no corrections): -4.4488 eV per atom
* N(E_F): 1.413 states/eV per atom
* magnetization: 0.00 μB per formula unit
* crystal system: tetragonal


# 19
Density functional theory data (PBE) for a geometry-optimized Tc2MoPt structure.

```
4
Lattice="4.6284 -1.3751 0.0000 4.6284 1.3751 0.0000 -0.8298 0.0000 4.7354" Properties=species:S:1:pos:R:3 pbc="T T T"
Tc 0.0000 0.0000 0.0000
Tc 6.7119 0.0000 1.0553
Mo 4.1991 0.0000 2.2996
Pt 1.6941 0.0000 3.4608
```

Summary:
* energy relative to the elements: -50 meV per atom
* SG: Cm, No. 8
* total DFT energy (no corrections): -9.4514 eV per atom
* N(E_F): 1.080 states/eV per atom
* magnetization: 0.00 μB per formula unit
* energy above the lowest structure with this stoichiometry: 0.47 eV per formula unit
* crystal system: monoclinic


# 20
Density functional theory data (PBE) for a geometry-optimized As2Ir structure.

```
3
Lattice="4.0177 0.0000 0.0000 0.0000 4.0177 0.0000 0.0000 0.0000 3.4827" Properties=species:S:1:pos:R:3 pbc="T T T"
As 0.0000 2.0089 0.0000
As 2.0089 0.0000 0.0000
Ir 0.0000 0.0000 1.7414
```

Summary:
* energy relative to the elements: 325 meV per atom
* SG: P4/mmm, No. 123
* total DFT energy (no corrections): -5.7286 eV per atom
* N(E_F): 0.717 states/eV per atom
* magnetization: 0.00 μB per formula unit
* crystal system: tetragonal